Entry from Alexandria: a relaxed Ta5Fe4Os crystal (GGA-PBE).

Space group: No. 123
D(E_F) (states/eV per atom): 0.70
Energy of formation from the pure elements (eV/atom): -0.19
Mass density (g cm⁻³): 14.758

abc: 3.0901 3.0901 15.5347
angles: 90.00 90.00 90.00
Last column: magnetic moment on the atom in μB.
Element x y z (fractional)
Ta1 0.5000 0.5000 0.1082  -0.09
Ta2 0.5000 0.5000 0.3043  -0.17
Ta3 0.5000 0.5000 0.5000  -0.20
Ta4 0.5000 0.5000 0.6957  -0.17
Ta5 0.5000 0.5000 0.8918  -0.09
Fe1 0.0000 0.0000 0.2035  1.42
Fe2 0.0000 0.0000 0.4025  1.22
Fe3 0.0000 0.0000 0.5975  1.22
Fe4 0.0000 0.0000 0.7965  1.42
Os1 0.0000 0.0000 0.0000  0.04

---

Entry from Alexandria: a relaxed TaFe2Os crystal (GGA-PBE).

Space group: No. 166
D(E_F) (states/eV per atom): 1.16
Energy of formation from the pure elements (eV/atom): 0.26
Mass density (g cm⁻³): 14.396

abc: 8.8982 8.8982 8.8982
angles: 17.52 17.52 17.52
Last column: magnetic moment on the atom in μB.
Element x y z (fractional)
Fe1 0.9959 0.9959 0.9959  1.68
Fe2 0.5041 0.5041 0.5041  1.68
Os1 0.2500 0.2500 0.2500  -0.09
Ta1 0.7500 0.7500 0.7500  -0.17